! Ba2ScOsN6, optimized geometry, DFT GGA-PBE; values from VASP
&SYSTEM
  ibrav = 0, nat = 10, ntyp = 4
/
ATOMIC_SPECIES
Os 190.23 Os.upf
Ba 137.33 Ba.upf
N 14.01 N.upf
Sc 44.96 Sc.upf
CELL_PARAMETERS angstrom
5.333 2.422 0.144
-1.833 3.806 4.060
-0.630 -5.758 0.882
ATOMIC_POSITIONS angstrom
Os 0.000 0.000 0.000
Ba 3.227 -0.111 1.564
Ba -0.356 0.581 3.522
N 2.375 1.714 3.656
N 2.998 -2.984 1.924
N 2.673 4.756 3.210
N -0.127 3.453 3.162
N 0.828 1.472 0.994
N 0.496 -1.244 1.430
Sc 1.750 3.114 2.102
! Total energy   -7.210 eV/atom

***

! LuInFeCo, optimized geometry, DFT GGA-PBE; values from VASP
&SYSTEM
  ibrav = 0, nat = 4, ntyp = 4
/
ATOMIC_SPECIES
Lu 174.97 Lu.upf
Co 58.93 Co.upf
In 114.82 In.upf
Fe 55.84 Fe.upf
CELL_PARAMETERS angstrom
0.603 -4.196 1.837
2.147 -0.455 4.066
-2.394 -1.245 3.750
ATOMIC_POSITIONS angstrom
Lu 0.089 -1.474 2.413
Co 0.178 -2.948 4.826
In 0.000 0.000 0.000
Fe 0.266 -4.422 7.239
! ΔE to the lowest computed polymorph   135 meV/atom
! Total energy   -5.526 eV/atom

***

Copy entry 2 word for word.
! LuInFeCo, optimized geometry, DFT GGA-PBE; values from VASP
&SYSTEM
  ibrav = 0, nat = 4, ntyp = 4
/
ATOMIC_SPECIES
Lu 174.97 Lu.upf
Co 58.93 Co.upf
In 114.82 In.upf
Fe 55.84 Fe.upf
CELL_PARAMETERS angstrom
0.603 -4.196 1.837
2.147 -0.455 4.066
-2.394 -1.245 3.750
ATOMIC_POSITIONS angstrom
Lu 0.089 -1.474 2.413
Co 0.178 -2.948 4.826
In 0.000 0.000 0.000
Fe 0.266 -4.422 7.239
! ΔE to the lowest computed polymorph   135 meV/atom
! Total energy   -5.526 eV/atom